## Y4Er9Cd11 (PBE)

Data for a relaxed Y4Er9Cd11 crystal.

Structure (POSCAR):
```
Y4Er9Cd11
1.0
-1.7770 1.2605 2.7191
-4.8267 -12.6804 2.7240
11.8644 1.9401 6.8542
Y Er Cd
4 9 11
direct
0.5000 0.5845 0.7505
0.5000 0.4155 0.2495
0.5000 0.7505 0.5845
0.5000 0.2495 0.4155
0.5000 0.6172 0.1554
0.5000 0.3828 0.8446
0.5000 0.1554 0.6172
0.5000 0.8446 0.3828
0.5000 0.7946 0.9835
0.5000 0.2054 0.0165
0.5000 0.9835 0.7946
0.5000 0.0165 0.2054
0.5000 0.5000 0.5000
0.0000 0.5886 0.9516
0.0000 0.4114 0.0484
0.0000 0.9516 0.5886
0.0000 0.0484 0.4114
0.0000 0.6293 0.3707
0.0000 0.3707 0.6293
0.0000 0.8181 0.1819
0.0000 0.1819 0.8181
0.0000 0.0000 0.0000
0.0000 0.7905 0.7905
0.0000 0.2095 0.2095
```

Values from the calculation:
- Energy of formation from the pure elements: -0.23 eV/atom